# 1
BaLi2Zr3S8 | PBE | optimized geometry

Cell: 7.5273 7.5273 23.5382 Å, 90.00 90.00 120.00°
With the nearest neighbours (Å) after each atom.
Space group R3m (No. 160, hexagonal axes)
Asymmetric unit:
Ba 0.0000 0.0000 0.0000 (multiplicity 3)  4 S 3.00-3.05
Li 0.0000 0.0000 0.1551 (multiplicity 3)  6 S 2.57-2.79
Li 0.0000 0.0000 0.5867 (multiplicity 3)  3 S 2.36
Zr 0.0061 0.5030 0.1437 (multiplicity 9)  6 S 2.57-2.62
S 0.0000 0.0000 0.4141 (multiplicity 3)  3 Zr 2.60
S 0.0000 0.0000 0.8703 (multiplicity 3)  3 Zr 2.62
S 0.0110 0.5055 0.4181 (multiplicity 9)  2 Zr 2.57, 1 Li 2.79
S 0.1733 0.3466 0.2070 (multiplicity 9)  2 Li 2.36-2.57, 2 Zr 2.58



# 2
Ba2LiZrS5 | PBE | optimized geometry

Cell: 4.0628 17.9098 12.6576 Å, 90.00 90.00 90.00°
With the nearest neighbours (Å) after each atom.
Space group Cmc2_1 (No. 36)
Asymmetric unit:
Ba 0.0000 0.1109 0.0000 (multiplicity 4)  5 S 3.09-3.20
Ba 0.0000 0.1288 0.6249 (multiplicity 4)  7 S 3.08-3.33
Li 0.0000 0.4414 0.7623 (multiplicity 4)  4 S 2.40-2.54
Zr 0.0000 0.2033 0.3274 (multiplicity 4)  6 S 2.52-2.67
S 0.0000 0.0647 0.3628 (multiplicity 4)  2 Li 2.40, 1 Zr 2.52
S 0.0000 0.2876 0.9623 (multiplicity 4)  2 Zr 2.66
S 0.0000 0.3088 0.6920 (multiplicity 4)  1 Li 2.54, 2 Zr 2.67
S 0.0000 0.3450 0.3167 (multiplicity 4)  1 Zr 2.54
S 0.0000 0.4981 0.0918 (multiplicity 4)  1 Li 2.41



# 3
BaLiSb2 | PBE | optimized geometry

As for the energy above the most stable polymorph in this dataset: 110.4 meV per atom.

Cell: 5.5349 5.5349 18.6655 Å, 90.00 90.00 90.00°
With the nearest neighbours (Å) after each atom.
Space group I-42d (No. 122)
Asymmetric unit:
Ba 0.0000 0.0000 0.0000 (multiplicity 4)  4 Sb 3.47
Li 0.0000 0.0000 0.5000 (multiplicity 4)  4 Sb 2.78
Sb 0.1091 0.7500 0.6250 (multiplicity 8)  2 Li 2.78, 2 Sb 3.02



# 4
BaLi4Sb4 | PBE | optimized geometry

Cell: 6.9693 6.9693 9.5237 Å, 90.00 90.00 90.00°
With the nearest neighbours (Å) after each atom.
Space group P4_2/nmc (No. 137, origin choice 2)
Asymmetric unit:
Ba 0.2500 0.7500 0.2500 (multiplicity 2)  4 Sb 3.50
Li 0.0235 0.2500 0.1520 (multiplicity 8)  5 Sb 2.82-2.92, 1 Li 3.16
Sb 0.0363 0.2500 0.4481 (multiplicity 8)  5 Li 2.82-2.92, 1 Sb 2.98



# 5
BaLiSb2 | PBE | optimized geometry

As for the energy above the most stable polymorph in this dataset: 291.6 meV per atom.

Cell: 7.9575 7.9575 7.9575 Å, 90.00 90.00 90.00°
With the nearest neighbours (Å) after each atom.
Space group Fm-3m (No. 225)
Asymmetric unit:
Ba 0.0000 0.0000 0.0000 (multiplicity 4)  8 Sb 3.45
Li 0.0000 0.0000 0.5000 (multiplicity 4)  8 Sb 3.45
Sb 0.2500 0.2500 0.2500 (multiplicity 8)  4 Ba 3.45, 4 Li 3.45



# 6
BaLiSb2 | PBE | optimized geometry

As for the energy above the most stable polymorph in this dataset: 87.8 meV per atom.

Cell: 9.4436 5.0626 5.9068 Å, 90.00 109.17 90.00°
With the nearest neighbours (Å) after each atom.
Space group C2/m (No. 12)
Asymmetric unit:
Ba 0.0000 0.0000 0.0000 (multiplicity 2)  8 Sb 3.65-3.71, 4 Li 3.89
Li 0.0000 0.5000 0.5000 (multiplicity 2)  2 Sb 2.77
Sb 0.2458 0.0000 0.6347 (multiplicity 4)  1 Li 2.77, 2 Sb 3.00



# 7
BaLi4Sb2 | PBE | optimized geometry

Cell: 19.6536 4.8561 7.4109 Å, 90.00 90.00 90.00°
With the nearest neighbours (Å) after each atom.
Space group Pnma (No. 62)
Asymmetric unit:
Ba 0.1402 0.2500 0.0144 (multiplicity 4)  6 Li 3.26-3.60, 3 Sb 3.54-3.63
Li 0.0191 0.7500 0.8531 (multiplicity 4)  3 Sb 2.78-2.89, 1 Li 2.99
Li 0.0646 0.2500 0.4845 (multiplicity 4)  4 Sb 2.90-3.07, 1 Li 2.99
Li 0.1774 0.7500 0.3704 (multiplicity 4)  4 Sb 2.87-3.10, 1 Li 2.88
Li 0.2185 0.7500 0.7440 (multiplicity 4)  3 Sb 2.73-2.76, 1 Li 2.88
Sb 0.0399 0.7500 0.2392 (multiplicity 4)  7 Li 2.78-3.07
Sb 0.2144 0.2500 0.5661 (multiplicity 4)  6 Li 2.73-3.01



# 8
BaLi3Sb3 | PBE | optimized geometry

Cell: 7.4007 7.4007 7.4007 Å, 90.00 90.00 90.00°
With the nearest neighbours (Å) after each atom.
Space group Pm-3n (No. 223)
Asymmetric unit:
Ba 0.0000 0.0000 0.0000 (multiplicity 2)  12 Li 4.14, 12 Sb 4.14
Li 0.0000 0.2500 0.5000 (multiplicity 6)  4 Sb 2.62
Sb 0.0000 0.5000 0.2500 (multiplicity 6)  4 Li 2.62



Number 1: formation energy without anion corrections -1.526 eV per atom. Number 2: formation energy without anion corrections -1.558 eV per atom. Number 3: formation energy without anion corrections -0.611 eV per atom. Number 4: formation energy without anion corrections -0.528 eV per atom. Number 5: formation energy without anion corrections -0.430 eV per atom. Number 6: formation energy without anion corrections -0.634 eV per atom. Number 7: formation energy without anion corrections -0.695 eV per atom. Number 8: formation energy without anion corrections -0.310 eV per atom.